A geometry-optimized Ca7Mg structure. Source: the Alexandria database, functional PBEsol.

Computed properties:
Theoretical density = 1.66 g/cm³
Space group = Fm-3m
Formation energy = 0.014 eV/atom
D(E_F) = 10.5 states/eV/f.u.
Electronic total energy = -2.0672 eV/atom

abc: 7.551 7.551 7.551
angles: 60.00 60.00 60.00
Fractional coordinates of all 8 atoms:
Ca 0.500 0.000 0.500
Mg 0.000 0.000 0.000
Ca 0.500 0.000 0.000
Ca 0.000 0.500 0.000
Ca 0.500 0.500 0.500
Ca 0.000 0.500 0.500
Ca 0.000 0.000 0.500
Ca 0.500 0.500 0.000